Ni3Te4 | PBE | relaxed

Results
- Crystal system: monoclinic
- Volume: 143.9 Å³/cell
- Size of the total moment: 0.00 μB/cell
- Raw formation energy: -0.207 eV/atom
- Space group: C2/m (12)
- VASP energy: -4.480 eV per atom

Unit cell a=6.6162 b=6.6162 c=6.7439 alpha=120.45 beta=120.45 gamma=35.13
Element x y z (fractional)
1 Ni 0.0000 0.0000 0.0000
2 Ni 0.2526 0.2526 0.2397
3 Ni 0.7474 0.7474 0.7603
4 Te 0.1225 0.1225 0.7789
5 Te 0.3700 0.3700 0.7064
6 Te 0.6300 0.6300 0.2936
7 Te 0.8775 0.8775 0.2211